Crystalline AlNiAg2Hg at its relaxed geometry, computed with PBE.

Summary:
**DOS(E_F)**: 0.67 states/eV/atom
**Electronic total energy**: -2.11 eV per atom

Cell lengths 5.193, 5.193, 4.831 Å; angles 90.00, 90.00, 90.00 degrees
Space group P4/mmm (No. 123)
Inequivalent atoms, fractional coordinates:
Al1 0.000 0.000 0.000
Ni1 0.500 0.500 0.000
Ag1 0.000 0.500 0.500
Hg1 0.500 0.500 0.500

Crystalline Zr3In at its relaxed geometry, computed with PBE.

Summary:
**DOS(E_F)**: 0.97 states/eV/atom
**Electronic total energy**: -7.24 eV per atom

Cell lengths 3.179, 5.228, 5.490 Å; angles 90.00, 90.00, 90.00 degrees
Space group Pmm2 (No. 25)
Inequivalent atoms, fractional coordinates:
Zr1 0.000 0.000 0.000
Zr2 0.000 0.500 0.359
Zr3 0.500 0.000 0.502
In1 0.500 0.500 0.851

Crystalline AlV6Sb at its relaxed geometry, computed with PBE.

Summary:
**DOS(E_F)**: 0.72 states/eV/atom
**Electronic total energy**: -7.95 eV per atom
**Energy relative to the elements, uncorrected**: -1.06 eV/f.u.

Cell lengths 4.366, 5.927, 9.050 Å; angles 90.00, 90.00, 90.00 degrees
Space group Amm2 (No. 38)
Inequivalent atoms, fractional coordinates:
Al1 0.000 0.000 0.000
V1 0.000 0.000 0.521
V2 0.000 0.229 0.751
V3 0.500 0.000 0.785
V4 0.500 0.249 0.552
Sb1 0.500 0.000 0.305

Crystalline CuRe2Os at its relaxed geometry, computed with PBE.

Summary:
**DOS(E_F)**: 1.01 states/eV/atom
**Electronic total energy**: -9.67 eV per atom

Cell lengths 2.881, 4.408, 8.926 Å; angles 90.00, 90.00, 90.00 degrees
Space group Imm2 (No. 44)
Inequivalent atoms, fractional coordinates:
Cu1 0.000 0.000 0.000
Re1 0.000 0.000 0.497
Re2 0.000 0.500 0.260
Os1 0.000 0.500 0.738

Crystalline Zr2Co21B6 at its relaxed geometry, computed with PBE.

Summary:
**DOS(E_F)**: 1.19 states/eV/atom
**Electronic total energy**: -7.39 eV per atom

Cell lengths 10.575, 10.575, 10.575 Å; angles 90.00, 90.00, 90.00 degrees
Space group Fm-3m (No. 225)
Inequivalent atoms, fractional coordinates:
Zr1 0.250 0.250 0.250
Co1 0.000 0.000 0.000
Co2 0.000 0.168 0.168
Co3 0.114 0.114 0.386
B1 0.000 0.000 0.274

Crystalline CaCu2Ni at its relaxed geometry, computed with PBE.

Summary:
**DOS(E_F)**: 0.84 states/eV/atom
**Electronic total energy**: -3.89 eV per atom

Cell lengths 2.981, 3.419, 6.234 Å; angles 90.00, 90.00, 90.00 degrees
Space group Pmmm (No. 47)
Inequivalent atoms, fractional coordinates:
Ca1 0.000 0.000 0.000
Cu1 0.500 0.500 0.309
Ni1 0.000 0.000 0.500

Crystalline AlHgSb2 at its relaxed geometry, computed with PBE.

Summary:
**DOS(E_F)**: 0.16 states/eV/atom
**Electronic total energy**: -2.91 eV per atom
**Energy relative to the elements, uncorrected**: 0.66 eV/f.u.

Cell lengths 3.234, 5.193, 6.429 Å; angles 90.00, 91.21, 90.00 degrees
Space group Pm (No. 6)
Inequivalent atoms, fractional coordinates:
Al1 0.000 0.000 0.000
Hg1 0.700 0.500 0.766
Sb1 0.016 0.500 0.211
Sb2 0.455 0.000 0.617

Crystalline La3Tb2DyY6 at its relaxed geometry, computed with PBE.

Summary:
**DOS(E_F)**: 1.41 states/eV/atom
**Electronic total energy**: -5.60 eV per atom

Cell lengths 6.264, 10.851, 11.905 Å; angles 90.00, 100.09, 90.00 degrees
Space group C2/m (No. 12)
Inequivalent atoms, fractional coordinates:
La1 0.000 0.000 0.000
La2 0.000 0.333 0.000
Tb1 0.000 0.167 0.500
Dy1 0.000 0.500 0.500
Y1 0.248 0.000 0.745
Y2 0.248 0.333 0.745